Record 1
# ErCd2Pb3

A geometry-optimized ErCd2Pb3 structure (GGA-PBE, Alexandria).

```
data_ErCd2Pb3
_space_group_name_H-M_alt 'P 1'
_space_group_IT_number 1
_cell_length_a 4.506
_cell_length_b 10.512
_cell_length_c 6.934
_cell_angle_alpha 90.00
_cell_angle_beta 90.00
_cell_angle_gamma 90.00
loop_
_space_group_symop_operation_xyz
'x,y,z'
loop_
_atom_site_label
_atom_site_type_symbol
_atom_site_fract_x
_atom_site_fract_y
_atom_site_fract_z
_atom_site_occupancy
Er1 Er 0.000 0.148 0.000 1
Er2 Er 0.000 0.852 0.500 1
Cd1 Cd 0.000 0.174 0.511 1
Cd2 Cd 0.000 0.826 0.011 1
Cd3 Cd 0.500 0.322 0.748 1
Cd4 Cd 0.500 0.678 0.248 1
Pb1 Pb 0.000 0.498 0.004 1
Pb2 Pb 0.000 0.502 0.504 1
Pb3 Pb 0.500 0.001 0.753 1
Pb4 Pb 0.500 0.326 0.247 1
Pb5 Pb 0.500 0.674 0.747 1
Pb6 Pb 0.500 0.999 0.253 1
```

Output
Distance to the lowest polymorph of the same formula (meV/atom): 0


Record 2
# Ta12Nb6Cr

A geometry-optimized Ta12Nb6Cr structure (GGA-PBE, Alexandria).

```
data_Ta12Nb6Cr
_space_group_name_H-M_alt 'P 1'
_space_group_IT_number 1
_cell_length_a 7.075
_cell_length_b 7.075
_cell_length_c 7.075
_cell_angle_alpha 88.43
_cell_angle_beta 88.43
_cell_angle_gamma 88.43
loop_
_space_group_symop_operation_xyz
'x,y,z'
loop_
_atom_site_label
_atom_site_type_symbol
_atom_site_fract_x
_atom_site_fract_y
_atom_site_fract_z
_atom_site_occupancy
Ta1 Ta 0.019 0.922 0.309 1
Ta2 Ta 0.078 0.691 0.981 1
Ta3 Ta 0.124 0.446 0.350 1
Ta4 Ta 0.309 0.019 0.922 1
Ta5 Ta 0.350 0.124 0.446 1
Ta6 Ta 0.446 0.350 0.124 1
Ta7 Ta 0.554 0.650 0.876 1
Ta8 Ta 0.650 0.876 0.554 1
Ta9 Ta 0.691 0.981 0.078 1
Ta10 Ta 0.876 0.554 0.650 1
Ta11 Ta 0.922 0.309 0.019 1
Ta12 Ta 0.981 0.078 0.691 1
Nb1 Nb 0.236 0.388 0.758 1
Nb2 Nb 0.242 0.764 0.612 1
Nb3 Nb 0.388 0.758 0.236 1
Nb4 Nb 0.612 0.242 0.764 1
Nb5 Nb 0.758 0.236 0.388 1
Nb6 Nb 0.764 0.612 0.242 1
Cr1 Cr 0.500 0.500 0.500 1
```

Output
E (eV per atom): -11.003


Record 3
# InSiNi2

A geometry-optimized InSiNi2 structure (GGA-PBE, Alexandria).

```
data_InSiNi2
_space_group_name_H-M_alt 'P 1'
_space_group_IT_number 1
_cell_length_a 2.973
_cell_length_b 3.316
_cell_length_c 6.128
_cell_angle_alpha 90.00
_cell_angle_beta 90.00
_cell_angle_gamma 90.00
loop_
_space_group_symop_operation_xyz
'x,y,z'
loop_
_atom_site_label
_atom_site_type_symbol
_atom_site_fract_x
_atom_site_fract_y
_atom_site_fract_z
_atom_site_occupancy
In1 In 0.000 0.000 0.000 1
Si1 Si 0.000 0.500 0.474 1
Ni1 Ni 0.500 0.000 0.377 1
Ni2 Ni 0.500 0.500 0.749 1
```

Output
Formation energy from raw total energies (eV/atom): -0.204


Record 4
# AgRhI

A geometry-optimized AgRhI structure (GGA-PBE, Alexandria).

```
data_AgRhI
_space_group_name_H-M_alt 'P 1'
_space_group_IT_number 1
_cell_length_a 4.514
_cell_length_b 17.482
_cell_length_c 3.807
_cell_angle_alpha 90.00
_cell_angle_beta 90.00
_cell_angle_gamma 90.00
loop_
_space_group_symop_operation_xyz
'x,y,z'
loop_
_atom_site_label
_atom_site_type_symbol
_atom_site_fract_x
_atom_site_fract_y
_atom_site_fract_z
_atom_site_occupancy
Ag1 Ag 0.000 0.060 0.250 1
Ag2 Ag 0.000 0.940 0.750 1
Ag3 Ag 0.500 0.440 0.750 1
Ag4 Ag 0.500 0.560 0.250 1
Rh1 Rh 0.000 0.453 0.250 1
Rh2 Rh 0.000 0.547 0.750 1
Rh3 Rh 0.500 0.047 0.750 1
Rh4 Rh 0.500 0.953 0.250 1
I1 I 0.000 0.334 0.750 1
I2 I 0.000 0.666 0.250 1
I3 I 0.500 0.166 0.250 1
I4 I 0.500 0.834 0.750 1
```

Output
Formation energy from raw total energies (eV/atom): 0.154
Distance to the lowest polymorph of the same formula (meV/atom): 4


Record 5
# ZnSbF6

A geometry-optimized ZnSbF6 structure (GGA-PBE, Alexandria).

```
data_ZnSbF6
_space_group_name_H-M_alt 'P 1'
_space_group_IT_number 1
_cell_length_a 5.727
_cell_length_b 5.727
_cell_length_c 5.727
_cell_angle_alpha 58.26
_cell_angle_beta 58.26
_cell_angle_gamma 58.26
loop_
_space_group_symop_operation_xyz
'x,y,z'
loop_
_atom_site_label
_atom_site_type_symbol
_atom_site_fract_x
_atom_site_fract_y
_atom_site_fract_z
_atom_site_occupancy
Zn1 Zn 0.000 0.000 0.000 1
Sb1 Sb 0.500 0.500 0.500 1
F1 F 0.166 0.334 0.750 1
F2 F 0.250 0.834 0.666 1
F3 F 0.334 0.750 0.166 1
F4 F 0.666 0.250 0.834 1
F5 F 0.750 0.166 0.334 1
F6 F 0.834 0.666 0.250 1
```

Output
Formation energy from raw total energies (eV/atom): -2.257
Distance to the lowest polymorph of the same formula (meV/atom): 0


Record 6
# RbCd2SnRh

A geometry-optimized RbCd2SnRh structure (GGA-PBE, Alexandria).

```
data_RbCd2SnRh
_space_group_name_H-M_alt 'P 1'
_space_group_IT_number 1
_cell_length_a 5.374
_cell_length_b 5.374
_cell_length_c 5.068
_cell_angle_alpha 90.00
_cell_angle_beta 90.00
_cell_angle_gamma 90.00
loop_
_space_group_symop_operation_xyz
'x,y,z'
loop_
_atom_site_label
_atom_site_type_symbol
_atom_site_fract_x
_atom_site_fract_y
_atom_site_fract_z
_atom_site_occupancy
Rb1 Rb 0.000 0.000 0.000 1
Cd1 Cd 0.000 0.500 0.500 1
Cd2 Cd 0.500 0.000 0.500 1
Sn1 Sn 0.500 0.500 0.000 1
Rh1 Rh 0.500 0.500 0.500 1
```

Output
E (eV per atom): -3.024


What did the third record say?
# InSiNi2

A geometry-optimized InSiNi2 structure (GGA-PBE, Alexandria).

```
data_InSiNi2
_space_group_name_H-M_alt 'P 1'
_space_group_IT_number 1
_cell_length_a 2.973
_cell_length_b 3.316
_cell_length_c 6.128
_cell_angle_alpha 90.00
_cell_angle_beta 90.00
_cell_angle_gamma 90.00
loop_
_space_group_symop_operation_xyz
'x,y,z'
loop_
_atom_site_label
_atom_site_type_symbol
_atom_site_fract_x
_atom_site_fract_y
_atom_site_fract_z
_atom_site_occupancy
In1 In 0.000 0.000 0.000 1
Si1 Si 0.000 0.500 0.474 1
Ni1 Ni 0.500 0.000 0.377 1
Ni2 Ni 0.500 0.500 0.749 1
```

Output
Formation energy from raw total energies (eV/atom): -0.204


Which formula does entry 1 have? ErCd2Pb3